# 1
Computed, not measured: a geometry-optimized YTaSi structure at the GGA-PBE level of DFT.

The structure in CIF format:
```
data_YTaSi
_cell_length_a 4.781
_cell_length_b 4.781
_cell_length_c 4.781
_cell_angle_alpha 60.00
_cell_angle_beta 60.00
_cell_angle_gamma 60.00
_symmetry_space_group_name_H-M 'P 1'
_symmetry_Int_Tables_number 1
loop_
_symmetry_equiv_pos_as_xyz
'x,y,z'
loop_
_atom_site_label
_atom_site_fract_x
_atom_site_fract_y
_atom_site_fract_z
Y1 0.250 0.250 0.250
Si1 0.000 0.000 0.000
Ta1 0.500 0.500 0.500
```

## Properties
Energy, eV/atom: -6.729
SG: F-43m (216)
V, Å³ per cell: 77.3
Size of the total moment, μB per cell: 3.2

***

# 2
Computed, not measured: a geometry-optimized Nd2Sm2ErTm4 structure at the GGA-PBE level of DFT.

The structure in CIF format:
```
data_Nd2Sm2ErTm4
_cell_length_a 3.596
_cell_length_b 9.499
_cell_length_c 9.565
_cell_angle_alpha 115.30
_cell_angle_beta 90.00
_cell_angle_gamma 100.91
_symmetry_space_group_name_H-M 'P 1'
_symmetry_Int_Tables_number 1
loop_
_symmetry_equiv_pos_as_xyz
'x,y,z'
loop_
_atom_site_label
_atom_site_fract_x
_atom_site_fract_y
_atom_site_fract_z
Tm1 0.185 0.369 0.337
Tm2 0.815 0.631 0.663
Tm3 0.480 0.961 0.667
Tm4 0.520 0.039 0.333
Sm1 0.147 0.294 0.662
Sm2 0.853 0.706 0.338
Nd1 0.665 0.330 0.002
Nd2 0.335 0.670 0.998
Er1 0.000 0.000 0.000
```

## Properties
Calculated formation energy, kJ/mol of atoms: 0.34
SG: C2/m (12)
V, Å³ per cell: 288.8
Size of the total moment, μB per cell: 0.0

***

# 3
Computed, not measured: a geometry-optimized ZrHgP2O8 structure at the GGA-PBE level of DFT.

The structure in CIF format:
```
data_ZrHgP2O8
_cell_length_a 4.900
_cell_length_b 4.900
_cell_length_c 7.902
_cell_angle_alpha 71.94
_cell_angle_beta 71.94
_cell_angle_gamma 60.00
_symmetry_space_group_name_H-M 'P 1'
_symmetry_Int_Tables_number 1
loop_
_symmetry_equiv_pos_as_xyz
'x,y,z'
loop_
_atom_site_label
_atom_site_fract_x
_atom_site_fract_y
_atom_site_fract_z
O1 0.986 0.581 0.174
O2 0.419 0.741 0.826
O3 0.014 0.419 0.826
O4 0.581 0.259 0.174
O5 0.259 0.986 0.174
O6 0.819 0.819 0.544
O7 0.741 0.014 0.826
O8 0.181 0.181 0.456
P1 0.749 0.749 0.754
P2 0.251 0.251 0.246
Zr1 0.000 0.000 0.000
Hg1 0.500 0.500 0.500
```

## Properties
Energy, eV/atom: -7.052
SG: R-3 (148)
V, Å³ per cell: 153.4
Size of the total moment, μB per cell: 0.0